1.
A geometry-optimized Sm7Tl2Sn2 structure. Source: the Alexandria database, functional PBE.

Unit cell a=7.0478 b=7.0478 c=7.7693 alpha=90.00 beta=90.00 gamma=109.10
Positions (direct):
Sm (0.0000, 0.0000, 0.0000)
Sm (0.0000, 0.5000, 0.2939)
Sm (0.0000, 0.5000, 0.7061)
Sm (0.5000, 0.0000, 0.2939)
Sm (0.5000, 0.0000, 0.7061)
Sm (0.5000, 0.5000, 0.2593)
Sm (0.5000, 0.5000, 0.7407)
Tl (0.2865, 0.7135, 0.0000)
Tl (0.7135, 0.2865, 0.0000)
Sn (0.1777, 0.1777, 0.5000)
Sn (0.8223, 0.8223, 0.5000)

Calculated values
- spin magnetization (μB per formula unit) = 0.0
- energy relative to the elements (meV per atom) = -152

2.
A geometry-optimized TbEr2Zn2Ga2 structure. Source: the Alexandria database, functional PBE.

Unit cell a=9.3916 b=9.3916 c=9.3916 alpha=27.33 beta=27.33 gamma=27.33
Positions (direct):
Tb (0.0000, 0.0000, 0.0000)
Er (0.1271, 0.1271, 0.1271)
Er (0.8729, 0.8729, 0.8729)
Zn (0.3994, 0.3994, 0.3994)
Zn (0.6006, 0.6006, 0.6006)
Ga (0.2611, 0.2611, 0.2611)
Ga (0.7389, 0.7389, 0.7389)

Calculated values
- spin magnetization (μB per formula unit) = 0.0
- energy relative to the elements (meV per atom) = -396

3.
A geometry-optimized ReH3Se structure. Source: the Alexandria database, functional PBE.

Unit cell a=3.5498 b=3.5498 c=3.5498 alpha=90.00 beta=90.00 gamma=90.00
Positions (direct):
Re (0.0000, 0.0000, 0.0000)
H (0.0000, 0.5000, 0.5000)
H (0.5000, 0.0000, 0.5000)
H (0.5000, 0.5000, 0.0000)
Se (0.5000, 0.5000, 0.5000)

Calculated values
- spin magnetization (μB per formula unit) = 0.0
- energy above the most stable polymorph in this dataset (kJ per mole of atoms) = 88.4